No. 1
Compound: LiTa2BiSb
Source: Alexandria via LeMat-Bulk
Functional: PBE
Structure: relaxed

Cell lengths 5.1260, 5.1260, 5.9137 Å; angles 90.00, 90.00, 90.00 degrees
Last column: nearest neighbours and their distance in Å.
Fractional positions:
Sb 0.0000 0.0000 0.0000  4 Ta 2.56
Li 0.5000 0.5000 0.5000  4 Bi 3.62, 8 Ta 3.91
Bi 0.0000 0.0000 0.5000  2 Sb 2.96
Ta 0.0000 0.5000 0.0000  2 Sb 2.56
Ta 0.5000 0.0000 0.0000  2 Sb 2.56

## Properties
VASP energy in eV/cell: -25.985
Formation energy (no corrections) in eV per formula unit: 7.6

---

No. 2
Compound: LiThBiSb
Source: Alexandria via LeMat-Bulk
Functional: PBE
Structure: relaxed

Cell lengths 5.3971, 5.3971, 5.3971 Å; angles 60.00, 60.00, 60.00 degrees
Last column: nearest neighbours and their distance in Å.
Fractional positions:
Sb 0.2500 0.2500 0.2500  4 Th 3.31, 4 Li 3.31
Bi 0.7500 0.7500 0.7500  4 Th 3.31, 4 Li 3.31
Th 0.5000 0.5000 0.5000  4 Sb 3.31, 4 Bi 3.31
Li 0.0000 0.0000 0.0000  4 Sb 3.31, 4 Bi 3.31

## Properties
VASP energy in eV/cell: -19.126
Formation energy (no corrections) in eV per formula unit: -1.8

---

No. 3
Compound: LiUBiSb
Source: Alexandria via LeMat-Bulk
Functional: PBE
Structure: relaxed

Cell lengths 5.2692, 5.2692, 5.2692 Å; angles 60.00, 60.00, 60.00 degrees
Last column: nearest neighbours and their distance in Å.
Fractional positions:
Sb 0.0000 0.0000 0.0000  4 Li 3.23, 4 U 3.23
U 0.2500 0.2500 0.2500  4 Bi 3.23, 4 Sb 3.23
Bi 0.5000 0.5000 0.5000  4 U 3.23, 4 Li 3.23
Li 0.7500 0.7500 0.7500  4 Sb 3.23, 4 Bi 3.23

## Properties
VASP energy in eV/cell: -21.539
Formation energy (no corrections) in eV per formula unit: -0.3

---

No. 4
Compound: LiSc2Bi2
Source: Alexandria via LeMat-Bulk
Functional: PBE
Structure: relaxed

Cell lengths 8.3158, 8.3158, 3.7666 Å; angles 90.00, 90.00, 90.00 degrees
Last column: nearest neighbours and their distance in Å.
Fractional positions:
Sc 0.3690 0.8690 0.0000  6 Bi 3.01-3.14, 1 Sc 3.08, 2 Li 3.26
Sc 0.8690 0.6310 0.0000  6 Bi 3.01-3.14, 1 Sc 3.08, 2 Li 3.26
Sc 0.6310 0.1310 0.0000  6 Bi 3.01-3.14, 1 Sc 3.08, 2 Li 3.26
Sc 0.1310 0.3690 0.0000  6 Bi 3.01-3.14, 1 Sc 3.08, 2 Li 3.26
Bi 0.1692 0.6692 0.5000  6 Sc 3.01-3.14
Bi 0.6692 0.8308 0.5000  6 Sc 3.01-3.14
Bi 0.8308 0.3308 0.5000  6 Sc 3.01-3.14
Bi 0.3308 0.1692 0.5000  6 Sc 3.01-3.14
Li 0.0000 0.0000 0.0000  4 Sc 3.26, 8 Bi 3.62
Li 0.5000 0.5000 0.0000  4 Sc 3.26, 8 Bi 3.62

## Properties
VASP energy in eV/cell: -48.459
Calculated formation energy in meV/atom: -378
Energy above the most stable polymorph in this dataset in eV/f.u.: 0.54

---

No. 5
Compound: LiSc3Bi3
Source: Alexandria via LeMat-Bulk
Functional: PBE
Structure: relaxed

Cell lengths 8.9076, 8.9076, 8.9076 Å; angles 90.00, 90.00, 90.00 degrees
Last column: nearest neighbours and their distance in Å.
Fractional positions:
Li 0.0790 0.5790 0.9210  6 Bi 3.03-3.16, 3 Sc 3.34
Li 0.9210 0.0790 0.5790  6 Bi 3.03-3.16, 3 Sc 3.34
Li 0.4210 0.4210 0.4210  6 Bi 3.03-3.16, 3 Sc 3.34
Li 0.5790 0.9210 0.0790  6 Bi 3.03-3.16, 3 Sc 3.34
Sc 0.8297 0.3297 0.1703  6 Bi 3.02-3.10
Sc 0.9184 0.9184 0.9184  6 Bi 3.07-3.13, 3 Li 3.34
Sc 0.8196 0.6804 0.3196  6 Bi 2.99-3.17
Sc 0.1703 0.8297 0.3297  6 Bi 3.02-3.10
Sc 0.1804 0.1804 0.1804  6 Bi 2.99-3.17
Sc 0.3196 0.8196 0.6804  6 Bi 2.99-3.17
Sc 0.0816 0.4184 0.5816  6 Bi 3.07-3.13, 3 Li 3.34
Sc 0.3297 0.1703 0.8297  6 Bi 3.02-3.10
Sc 0.6804 0.3196 0.8196  6 Bi 2.99-3.17
Sc 0.6703 0.6703 0.6703  6 Bi 3.02-3.10
Sc 0.5816 0.0816 0.4184  6 Bi 3.07-3.13, 3 Li 3.34
Sc 0.4184 0.5816 0.0816  6 Bi 3.07-3.13, 3 Li 3.34
Bi 0.7495 0.6209 0.9965  6 Sc 2.99-3.17, 2 Li 3.03-3.16
Bi 0.8791 0.0035 0.2495  6 Sc 2.99-3.17, 2 Li 3.03-3.16
Bi 0.9965 0.7495 0.6209  6 Sc 2.99-3.17, 2 Li 3.03-3.16
Bi 0.1209 0.5035 0.2505  6 Sc 2.99-3.17, 2 Li 3.03-3.16
Bi 0.2505 0.1209 0.5035  6 Sc 2.99-3.17, 2 Li 3.03-3.16
Bi 0.2495 0.8791 0.0035  6 Sc 2.99-3.17, 2 Li 3.03-3.16
Bi 0.0035 0.2495 0.8791  6 Sc 2.99-3.17, 2 Li 3.03-3.16
Bi 0.3791 0.4965 0.7505  6 Sc 2.99-3.17, 2 Li 3.03-3.16
Bi 0.5035 0.2505 0.1209  6 Sc 2.99-3.17, 2 Li 3.03-3.16
Bi 0.6209 0.9965 0.7495  6 Sc 2.99-3.17, 2 Li 3.03-3.16
Bi 0.7505 0.3791 0.4965  6 Sc 2.99-3.17, 2 Li 3.03-3.16
Bi 0.4965 0.7505 0.3791  6 Sc 2.99-3.17, 2 Li 3.03-3.16

## Properties
VASP energy in eV/cell: -146.628
Calculated formation energy in meV/atom: -587

---

No. 6
Compound: LiSc3Bi
Source: Alexandria via LeMat-Bulk
Functional: PBE
Structure: relaxed

Cell lengths 4.9361, 4.9361, 4.9361 Å; angles 90.00, 90.00, 90.00 degrees
Last column: nearest neighbours and their distance in Å.
Fractional positions:
Sc 0.0000 0.5000 0.0000  2 Li 2.47
Sc 0.0000 0.0000 0.5000  2 Li 2.47
Sc 0.5000 0.0000 0.0000  2 Li 2.47
Bi 0.5000 0.5000 0.5000  12 Sc 3.49
Li 0.0000 0.0000 0.0000  6 Sc 2.47

## Properties
VASP energy in eV/cell: -23.801
Calculated formation energy in meV/atom: 198
Energy above the most stable polymorph in this dataset in eV/f.u.: 0.00